[1]
Compound: GdHoCdBi
Source: Alexandria
Functional: GGA-PBE
Structure: optimized geometry

Lattice parameters (Å, degrees): 7.6507 7.6507 7.6507 90.00 90.00 90.00
Last column: nearest neighbours and their distance in Å.
Space group F-43m (No. 216)
Symmetry-distinct sites (fractional):
Gd 0.0000 0.0000 0.0000 (multiplicity 4)  4 Bi 3.31, 4 Cd 3.31
Ho 0.0000 0.0000 0.5000 (multiplicity 4)  4 Cd 3.31, 4 Bi 3.31
Cd 0.2500 0.2500 0.7500 (multiplicity 4)  4 Gd 3.31, 4 Ho 3.31
Bi 0.2500 0.2500 0.2500 (multiplicity 4)  4 Ho 3.31, 4 Gd 3.31

Results
ΔH_f (0 K)	-0.435	eV/atom
electronic total energy	-6.30	eV/atom
D(E_F)	0.941	states/eV/atom


[2]
Compound: Sm2Dy2N3
Source: Alexandria
Functional: GGA-PBE
Structure: optimized geometry

Lattice parameters (Å, degrees): 11.7589 3.5292 6.1976 90.00 99.62 90.00
Last column: nearest neighbours and their distance in Å.
Space group C2/m (No. 12)
Symmetry-distinct sites (fractional):
Sm 0.1324 0.0000 0.3651 (multiplicity 4)  4 N 2.43-2.61
Dy 0.1266 0.5000 0.8911 (multiplicity 4)  5 N 2.38-2.52
N 0.0000 0.0000 0.0000 (multiplicity 2)  4 Dy 2.47, 2 Sm 2.52
N 0.2475 0.5000 0.2406 (multiplicity 4)  3 Dy 2.38-2.52, 3 Sm 2.43-2.61

Results
energy relative to the elements, uncorrected	-1344	meV/atom
electronic total energy	-7.57	eV/atom
D(E_F)	0.465	states/eV/atom


[3]
Compound: AlPdO2
Source: Alexandria
Functional: GGA-PBE
Structure: optimized geometry

Lattice parameters (Å, degrees): 7.1424 6.8352 5.2441 90.00 127.26 90.00
Last column: nearest neighbours and their distance in Å.
Space group Cc (No. 9)
Symmetry-distinct sites (fractional):
Al 0.0000 0.1246 0.0000 (multiplicity 4)  4 O 1.76-1.81
Pd 0.4321 0.0989 0.9092 (multiplicity 4)  3 O 2.18-2.35
O 0.3058 0.1941 0.2131 (multiplicity 4)  2 Al 1.79-1.81
O 0.4487 0.4060 0.7868 (multiplicity 4)  2 Al 1.76-1.77

Results
energy relative to the elements, uncorrected	-1631	meV/atom
electronic total energy	-6.34	eV/atom
D(E_F)	0.000	states/eV/atom


[4]
Compound: LaFeP2
Source: Alexandria
Functional: GGA-PBE
Structure: optimized geometry

Lattice parameters (Å, degrees): 3.7730 3.7730 17.1786 90.00 90.00 120.00
Last column: nearest neighbours and their distance in Å.
Space group R3m (No. 160, hexagonal axes)
Symmetry-distinct sites (fractional):
La 0.0000 0.0000 0.0000 (multiplicity 3)  6 P 2.90-3.06, 1 Fe 3.14
Fe 0.0000 0.0000 0.8171 (multiplicity 3)  6 P 2.28-2.39
P 0.0000 0.0000 0.2079 (multiplicity 3)  3 Fe 2.39
P 0.0000 0.0000 0.4446 (multiplicity 3)  3 Fe 2.28

Results
ΔH_f (0 K)	-0.788	eV/atom
electronic total energy	-6.84	eV/atom
D(E_F)	0.609	states/eV/atom
polymorph energy (0 for the lowest one)	0.081	eV per atom


[5]
Compound: PrDy3
Source: Alexandria
Functional: GGA-PBE
Structure: optimized geometry

Lattice parameters (Å, degrees): 5.0681 5.0681 5.0681 90.00 90.00 90.00
Last column: nearest neighbours and their distance in Å.
Space group Pm-3m (No. 221)
Symmetry-distinct sites (fractional):
Pr 0.0000 0.0000 0.0000 (multiplicity 1)  12 Dy 3.58
Dy 0.0000 0.5000 0.5000 (multiplicity 3)  8 Dy 3.58, 4 Pr 3.58

Results
ΔH_f (0 K)	0.022	eV/atom
electronic total energy	-4.62	eV/atom
D(E_F)	1.457	states/eV/atom
polymorph energy (0 for the lowest one)	0.005	eV per atom


[6]
Compound: Cd2CuRe
Source: Alexandria
Functional: GGA-PBE
Structure: optimized geometry

Lattice parameters (Å, degrees): 2.9601 4.7598 4.7744 90.00 90.00 90.00
Last column: nearest neighbours and their distance in Å.
Space group Pmmm (No. 47)
Symmetry-distinct sites (fractional):
Cd 0.0000 0.0000 0.0000 (multiplicity 1)  4 Re 2.80, 6 Cd 2.81-2.96
Cd 0.5000 0.0000 0.5000 (multiplicity 1)  4 Cu 2.80, 6 Cd 2.81-2.96
Cu 0.0000 0.5000 0.5000 (multiplicity 1)  4 Cd 2.80, 4 Re 2.81, 2 Cu 2.96
Re 0.5000 0.5000 0.0000 (multiplicity 1)  4 Cd 2.80, 4 Cu 2.81, 2 Re 2.96

Results
ΔH_f (0 K)	0.617	eV/atom
electronic total energy	-3.98	eV/atom
D(E_F)	0.414	states/eV/atom
polymorph energy (0 for the lowest one)	0.225	eV per atom